[1]
Li2PmCdHg4 after structural relaxation. Source: Alexandria via LeMat-Bulk, functional PBE.

Cell: 4.781 4.781 9.575 Å, 75.54 75.54 60.00°
Positions (direct):
Hg (0.880, 0.880, 0.359)
Hg (0.611, 0.611, 0.166)
Hg (0.120, 0.120, 0.641)
Hg (0.389, 0.389, 0.834)
Li (0.234, 0.234, 0.299)
Li (0.766, 0.766, 0.701)
Pm (0.000, 0.000, 0.000)
Cd (0.500, 0.500, 0.500)

Properties
energy of formation	-322	meV/atom

[2]
Rb2Nb2Pb after structural relaxation. Source: Alexandria via LeMat-Bulk, functional PBE.

Cell: 4.513 4.513 8.821 Å, 75.18 75.18 90.00°
Positions (direct):
Pb (0.000, 0.000, 0.000)
Nb (0.565, 0.565, 0.869)
Nb (0.435, 0.435, 0.131)
Rb (0.750, 0.250, 0.500)
Rb (0.250, 0.750, 0.500)

Properties
energy relative to the lowest polymorph listed for this composition	0.000	eV per atom
energy of formation	1181	meV/atom

[3]
TlInHg2Te after structural relaxation. Source: Alexandria via LeMat-Bulk, functional PBE.

Cell: 4.413 9.637 7.792 Å, 78.83 90.00 90.00°
Positions (direct):
Hg (0.250, 0.438, 0.664)
Hg (0.750, 0.562, 0.336)
Hg (0.750, 0.618, 0.864)
Hg (0.250, 0.382, 0.136)
In (0.750, 0.211, 0.937)
In (0.250, 0.789, 0.063)
Tl (0.750, 0.201, 0.462)
Tl (0.250, 0.799, 0.538)
Te (0.250, 0.050, 0.760)
Te (0.750, 0.950, 0.240)

Properties
raw formation energy	-12.5	kJ/mol of atoms

[4]
AlCr2Fe2 after structural relaxation. Source: Alexandria via LeMat-Bulk, functional PBE.

Cell: 6.746 6.746 2.628 Å, 90.00 90.00 90.00°
Positions (direct):
Fe (0.128, 0.372, 0.000)
Fe (0.628, 0.128, 0.000)
Fe (0.872, 0.628, 0.000)
Fe (0.372, 0.872, 0.000)
Cr (0.836, 0.336, 0.500)
Cr (0.164, 0.664, 0.500)
Cr (0.336, 0.164, 0.500)
Cr (0.664, 0.836, 0.500)
Al (0.500, 0.500, 0.000)
Al (0.000, 0.000, 0.000)

Properties
energy relative to the lowest polymorph listed for this composition	0.095	eV per atom
energy of formation	83	meV/atom

Total magnetization for the records above, in order: 0.00 0.00 0.00 0.00 μB per formula unit